# Tl2FeCl3F

A relaxed structure of Tl2FeCl3F (GGA+U, the Alexandria database).

Computed properties:
Its density of states at the Fermi level is 0.000 states/eV/cell. The calculation puts the total magnetization at 4.0 μB per formula unit. For the electronic total energy, the calculation gives -0.14268 hartree per atom.

```
Tl2FeCl3F
1.0
4.0860 0.0000 0.0000
0.0000 5.1871 0.0000
-2.0430 -2.5935 8.4184
F Cl Fe Tl
1 3 1 2
direct
0.5000 0.0000 0.0000 F
0.1518 0.1518 0.3037 Cl
0.0000 0.5000 0.0000 Cl
0.8482 0.8482 0.6963 Cl
0.0000 0.0000 0.0000 Fe
0.6490 0.6490 0.2980 Tl
0.3510 0.3510 0.7020 Tl
```